(1)
InFe2Si GGA-PBE relaxed; ΔE_f (raw) = 0.1805 eV per atom; magnetization = 3.65 μB/f.u.
1.0
-2.8555 -3.5734 -2.2677
1.7030 -4.8112 -0.1342
-1.2498 3.9222 3.0200
Fe In Si
2 1 1
direct
0.0119 0.0119 0.0000
0.7706 0.2706 0.5000
0.4970 0.4970 0.0000
0.2205 0.7205 0.5000


(2)
Ho3PtC GGA-PBE relaxed; relative energy among the computed polymorphs = 0 meV/atom; energy of formation from the pure elements = -0.69 eV per atom; magnetization = 0.00 μB/f.u.
1.0
3.6507 0.0000 0.0000
0.0000 8.5644 0.0000
0.0000 0.0000 13.6744
C Ho Pt
4 12 4
direct
0.7500 0.8384 0.0478
0.2500 0.6616 0.5478
0.7500 0.3384 0.4522
0.2500 0.1616 0.9522
0.2500 0.8131 0.6951
0.7500 0.3244 0.0335
0.2500 0.1756 0.5335
0.7500 0.8244 0.4665
0.2500 0.6756 0.9665
0.7500 0.6869 0.1951
0.7500 0.1869 0.3049
0.2500 0.3131 0.8049
0.7500 0.9988 0.8941
0.2500 0.0012 0.1059
0.2500 0.5012 0.3941
0.7500 0.4988 0.6059
0.2500 0.9012 0.3117
0.7500 0.5988 0.8117
0.2500 0.4012 0.1883
0.7500 0.0988 0.6883


(3)
Pr2YHoTe6 GGA-PBE relaxed; ΔE_f (raw) = -1.3755 eV per atom; magnetization = 0.00 μB/f.u.
1.0
-1.6923 -3.5098 -6.8408
5.5987 -0.8786 -5.4645
3.0380 -7.7307 -1.3152
Te Pr Ho Y
6 2 1 1
direct
0.2120 0.9368 0.2571
0.4353 0.7109 0.7582
0.9369 0.5940 0.2571
0.0957 0.4353 0.7582
0.7109 0.0956 0.7582
0.5940 0.2121 0.2571
0.5149 0.5149 0.4553
0.0147 0.0148 0.9558
0.3237 0.3237 0.0288
0.8235 0.8235 0.5294


(4)
Be3NbTc GGA-PBE relaxed; relative energy among the computed polymorphs = 0 meV/atom; energy of formation from the pure elements = 0.63 eV per atom; magnetization = 0.00 μB/f.u.
1.0
4.0599 0.0000 0.0000
0.0000 4.0599 0.0000
0.0000 0.0000 4.0599
Be Nb Tc
3 1 1
direct
0.0000 0.5000 0.0000
0.0000 0.0000 0.5000
0.5000 0.0000 0.0000
0.5000 0.5000 0.5000
0.0000 0.0000 0.0000


(5)
CaTaAs2 GGA-PBE relaxed; relative energy among the computed polymorphs = 0 meV/atom; energy of formation from the pure elements = -0.73 eV per atom; magnetization = 0.00 μB/f.u.
1.0
-1.0816 -6.5196 2.8426
2.4874 -6.5707 1.5470
1.7092 -4.9775 4.9049
As Ta Ca
2 1 1
direct
0.0098 0.0098 0.0098
0.4902 0.4902 0.4902
0.7500 0.7500 0.7500
0.2500 0.2500 0.2500


(6)
TbTmSc3 GGA-PBE relaxed; energy of formation from the pure elements = 0.02 eV per atom; magnetization = 0.00 μB/f.u.
1.0
5.3231 0.0005 -0.0010
0.0015 5.6930 1.6671
-0.0021 0.4393 9.0786
Tm Tb Sc
2 2 6
direct
0.6832 0.5674 0.6023
0.1836 0.2929 0.8041
0.1837 0.6925 0.0061
0.6831 0.1679 0.4003
0.6837 0.3557 0.0055
0.1833 0.0908 0.2050
0.1831 0.5047 0.4009
0.6835 0.7696 0.2014
0.1833 0.9009 0.6021
0.6835 0.9595 0.8042


(7)
EuTmLuIn GGA-PBE relaxed; energy of formation from the pure elements = -0.11 eV per atom; magnetization = 7.53 μB/f.u.
1.0
-2.3799 0.5887 4.9057
-5.4684 -0.0227 0.4153
-2.5549 -4.2533 2.3364
Tm In Eu Lu
1 1 1 1
direct
0.0000 0.0000 0.0000
0.2500 0.2500 0.2500
0.5000 0.5000 0.5000
0.7500 0.7500 0.7500


(8)
PuHRu3 GGA-PBE relaxed; magnetization = 2.54 μB/f.u.
1.0
4.0498 0.0000 0.0000
0.0000 4.0498 0.0000
0.0000 0.0000 4.0498
H Ru Pu
1 3 1
direct
0.0000 0.0000 0.0000
0.5000 0.0000 0.0000
0.0000 0.0000 0.5000
0.0000 0.5000 0.0000
0.5000 0.5000 0.5000


Total energy / eV per cell: -24.36 -129.71 -53.21 -28.47 -26.08 -55.99 -22.44 -45.68